! Ho2FeF8 | the Alexandria database | PBE with a Hubbard U | optimized geometry; values from VASP
! Electronic total energy ... -6.32 eV per atom
! Space group ... No. 12
! Crystal system ... monoclinic
&SYSTEM
  ibrav = 0, nat = 11, ntyp = 3
/
ATOMIC_SPECIES
F 19.00 F.upf
Ho 164.93 Ho.upf
Fe 55.84 Fe.upf
CELL_PARAMETERS angstrom
3.384 0.000 -0.851
-0.192 5.766 -0.764
-0.017 -0.772 7.087
ATOMIC_POSITIONS angstrom
F 1.251 2.192 4.975
F 3.228 0.303 5.683
Ho 0.466 3.758 1.852
F 1.924 2.803 0.498
F -0.053 4.691 -0.210
F 1.084 -0.378 4.313
Ho 2.709 1.236 3.621
Fe 1.692 0.000 -0.425
F 2.528 3.390 2.898
F 2.091 5.372 1.160
F 0.648 1.604 2.575